Entry 1:
# PBE Pr2BiPdO5, optimized geometry
# Mass density (g/cm³): 8.12
# Magnetization (μB per formula unit): 0.1
# Electronic total energy (eV/cell): -121.0
# Density of states at the Fermi level (states/eV/cell): 7.38
# E_form (uncorrected) (eV/atom): -1.90
data_Pr2BiPdO5
_space_group_name_H-M_alt 'P 4/m b m'
_space_group_IT_number 127
_space_group_name_Hall '-P 4 2ab'
_cell_length_a 6.9017
_cell_length_b 6.9017
_cell_length_c 5.8167
_cell_angle_alpha 90.00
_cell_angle_beta 90.00
_cell_angle_gamma 90.00
loop_
_atom_site_label
_atom_site_type_symbol
_atom_site_fract_x
_atom_site_fract_y
_atom_site_fract_z
Pr1 Pr 0.1722 0.3278 0.0000
Bi1 Bi 0.0000 0.0000 0.5000
Pd1 Pd 0.0000 0.5000 0.5000
O1 O 0.0000 0.0000 0.0000
O2 O 0.1404 0.6404 0.2480

=====

Entry 2:
# PBE BiPdPt2O, optimized geometry
# Mass density (g/cm³): 12.44
# Magnetization (μB per formula unit): 0.0
# Electronic total energy (eV/cell): -24.2
# Density of states at the Fermi level (states/eV/cell): 5.81
# E_form (uncorrected) (eV/atom): 0.38
data_BiPdPt2O
_space_group_name_H-M_alt 'P 4/m m m'
_space_group_IT_number 123
_space_group_name_Hall '-P 4 2'
_cell_length_a 5.1061
_cell_length_b 5.1061
_cell_length_c 3.6952
_cell_angle_alpha 90.00
_cell_angle_beta 90.00
_cell_angle_gamma 90.00
loop_
_atom_site_label
_atom_site_type_symbol
_atom_site_fract_x
_atom_site_fract_y
_atom_site_fract_z
Bi1 Bi 0.0000 0.0000 0.0000
Pd1 Pd 0.5000 0.5000 0.5000
Pt1 Pt 0.0000 0.5000 0.5000
O1 O 0.5000 0.5000 0.0000

=====

Entry 3:
# PBE RbBiPdO3, optimized geometry
# Mass density (g/cm³): 7.23
# Magnetization (μB per formula unit): 0.0
# Electronic total energy (eV/cell): -123.1
# Density of states at the Fermi level (states/eV/cell): 6.60
# E_form (uncorrected) (eV/atom): -0.98
data_RbBiPdO3
_space_group_name_H-M_alt 'C 1 2/m 1'
_space_group_IT_number 12
_space_group_name_Hall '-C 2y'
_cell_length_a 13.6194
_cell_length_b 3.9927
_cell_length_c 7.8433
_cell_angle_alpha 90.00
_cell_angle_beta 104.83
_cell_angle_gamma 90.00
loop_
_atom_site_label
_atom_site_type_symbol
_atom_site_fract_x
_atom_site_fract_y
_atom_site_fract_z
Rb1 Rb 0.1431 0.0000 0.0659
Bi1 Bi 0.1509 0.0000 0.5749
Pd1 Pd 0.0071 0.5000 0.2819
O1 O 0.0060 0.0000 0.3223
O2 O 0.1487 0.5000 0.7640
O3 O 0.1660 0.5000 0.3683

=====

Entry 4:
# PBE RbBiPdO4, optimized geometry
# Mass density (g/cm³): 6.36
# Magnetization (μB per formula unit): 0.0
# Electronic total energy (eV/cell): -141.9
# Density of states at the Fermi level (states/eV/cell): 5.53
# E_form (uncorrected) (eV/atom): -0.80
data_RbBiPdO4
_space_group_name_H-M_alt 'I m m a'
_space_group_IT_number 74
_space_group_name_Hall '-I 2b 2'
_cell_length_a 6.0741
_cell_length_b 6.6753
_cell_length_c 11.9765
_cell_angle_alpha 90.00
_cell_angle_beta 90.00
_cell_angle_gamma 90.00
loop_
_atom_site_label
_atom_site_type_symbol
_atom_site_fract_x
_atom_site_fract_y
_atom_site_fract_z
Rb1 Rb 0.0000 0.2500 0.1755
Bi1 Bi 0.0000 0.0000 0.5000
Pd1 Pd 0.2500 0.2500 0.7500
O1 O 0.0000 0.0603 0.6900
O2 O 0.2265 0.2500 0.4883

=====

Entry 5:
# PBE BiPdRhO6, optimized geometry
# Mass density (g/cm³): 7.56
# Magnetization (μB per formula unit): 1.2
# Electronic total energy (eV/cell): -103.8
# Density of states at the Fermi level (states/eV/cell): 8.16
# E_form (uncorrected) (eV/atom): -0.63
data_BiPdRhO6
_space_group_name_H-M_alt 'P 42 n m'
_space_group_IT_number 102
_space_group_name_Hall 'P 4n -2n'
_cell_length_a 4.7892
_cell_length_b 4.7892
_cell_length_c 9.8446
_cell_angle_alpha 90.00
_cell_angle_beta 90.00
_cell_angle_gamma 90.00
loop_
_atom_site_label
_atom_site_type_symbol
_atom_site_fract_x
_atom_site_fract_y
_atom_site_fract_z
Bi1 Bi 0.0000 0.0000 0.0000
Pd1 Pd 0.0000 0.0000 0.3318
Rh1 Rh 0.0000 0.0000 0.6694
O1 O 0.1768 0.1768 0.5023
O2 O 0.1964 0.1964 0.8235
O3 O 0.2064 0.2064 0.1749

=====

Entry 6:
# PBE BiPd2RhO, optimized geometry
# Mass density (g/cm³): 7.54
# Magnetization (μB per formula unit): 0.8
# Electronic total energy (eV/cell): -20.7
# Density of states at the Fermi level (states/eV/cell): 7.57
# E_form (uncorrected) (eV/atom): 1.17
data_BiPd2RhO
_space_group_name_H-M_alt 'P 4/m m m'
_space_group_IT_number 123
_space_group_name_Hall '-P 4 2'
_cell_length_a 4.8295
_cell_length_b 4.8295
_cell_length_c 5.1039
_cell_angle_alpha 90.00
_cell_angle_beta 90.00
_cell_angle_gamma 90.00
loop_
_atom_site_label
_atom_site_type_symbol
_atom_site_fract_x
_atom_site_fract_y
_atom_site_fract_z
Bi1 Bi 0.0000 0.0000 0.0000
Pd1 Pd 0.0000 0.5000 0.5000
Rh1 Rh 0.0000 0.0000 0.5000
O1 O 0.5000 0.5000 0.0000